1.
# Nd2VH

A relaxed Nd2VH crystal (PBE, the Alexandria database).

The structure in CIF format:
```
data_Nd2VH
_cell_length_a 3.3357
_cell_length_b 3.3357
_cell_length_c 27.0327
_cell_angle_alpha 90.00
_cell_angle_beta 90.00
_cell_angle_gamma 120.00
_space_group_name_H-M_alt 'R -3 m'
_space_group_IT_number 166
_space_group_name_Hall '-R 3 2"'
loop_
_atom_site_label
_atom_site_type_symbol
_atom_site_fract_x
_atom_site_fract_y
_atom_site_fract_z
Nd1 Nd 0.0000 0.0000 0.1070
V1 V 0.0000 0.0000 0.0000
H1 H 0.0000 0.0000 0.5000
```

Calculated values
Energy ... -20.1 eV per formula unit

=====

2.
# Lu2N

A relaxed Lu2N crystal (PBE, the Alexandria database).

The structure in CIF format:
```
data_Lu2N
_cell_length_a 3.368
_cell_length_b 5.922
_cell_length_c 6.256
_cell_angle_alpha 90.00
_cell_angle_beta 105.51
_cell_angle_gamma 90.00
_space_group_name_H-M_alt 'C 1 2/m 1'
_space_group_IT_number 12
loop_
_space_group_symop_operation_xyz
'x,y,z'
'-x,-y,-z'
'-x,y,-z'
'x,-y,z'
'x+1/2,y+1/2,z'
'-x+1/2,-y+1/2,-z'
'-x+1/2,y+1/2,-z'
'x+1/2,-y+1/2,z'
loop_
_atom_site_label
_atom_site_type_symbol
_atom_site_fract_x
_atom_site_fract_y
_atom_site_fract_z
Lu1 Lu 0.126 0.000 0.252
N1 N 0.000 0.500 0.000
```

Calculated values
Energy ... -19.6 eV per formula unit
Raw formation energy ... -2.272 eV per formula unit

=====

3.
# TaV2C

A relaxed TaV2C crystal (PBE, the Alexandria database).

The structure in CIF format:
```
data_TaV2C
_cell_length_a 6.895
_cell_length_b 6.895
_cell_length_c 4.451
_cell_angle_alpha 90.00
_cell_angle_beta 90.00
_cell_angle_gamma 90.00
_space_group_name_H-M_alt 'I -4 2 d'
_space_group_IT_number 122
_space_group_name_Hall 'I -4 2bw'
loop_
_atom_site_label
_atom_site_type_symbol
_atom_site_fract_x
_atom_site_fract_y
_atom_site_fract_z
Ta1 Ta 0.000 0.000 0.000
V1 V 0.144 0.750 0.625
C1 C 0.000 0.000 0.500
```

Calculated values
Energy ... -39.1 eV per formula unit
Energy of formation from the pure elements ... 6 kJ per mole of atoms

=====

4.
# Hf2ZnGa3

A relaxed Hf2ZnGa3 crystal (PBE, the Alexandria database).

The structure in CIF format:
```
data_Hf2ZnGa3
_cell_length_a 13.576
_cell_length_b 5.218
_cell_length_c 6.004
_cell_angle_alpha 90.00
_cell_angle_beta 90.00
_cell_angle_gamma 90.00
_space_group_name_H-M_alt 'C m c m'
_space_group_IT_number 63
_space_group_name_Hall '-C 2c 2'
loop_
_atom_site_label
_atom_site_type_symbol
_atom_site_fract_x
_atom_site_fract_y
_atom_site_fract_z
Hf1 Hf 0.160 0.000 0.000
Zn1 Zn 0.000 0.247 0.250
Ga1 Ga 0.000 0.240 0.750
Ga2 Ga 0.161 0.495 0.250
```

Calculated values
Energy ... -32.2 eV per formula unit
Energy of formation from the pure elements ... -32 kJ per mole of atoms